Compound: BaMnAs2
Source: Alexandria via LeMat-Bulk
Functional: PBE
Structure: optimized geometry

Properties
Crystal system: monoclinic
Calculated volume (Å³/atom): 28.6
Total DFT energy (no corrections) (eV per atom): -5.57
Energy of formation from the pure elements (eV per atom): -0.470

```
data_BaMnAs2
_symmetry_space_group_name_H-M 'P 1 2/m 1'
_symmetry_Int_Tables_number 10
_symmetry_space_group_name_Hall '-P 2y'
_cell_length_a 4.845
_cell_length_b 4.032
_cell_length_c 5.861
_cell_angle_alpha 90.00
_cell_angle_beta 90.06
_cell_angle_gamma 90.00
loop_
_atom_site_label
_atom_site_type_symbol
_atom_site_fract_x
_atom_site_fract_y
_atom_site_fract_z
_atom_site_occupancy
Ba1 Ba 0.000 0.000 0.000 1
Mn1 Mn 0.500 0.000 0.500 1
As1 As 0.499 0.500 0.751 1
```

***

Compound: BaMnAs2
Source: Alexandria via LeMat-Bulk
Functional: PBE
Structure: optimized geometry

Properties
Crystal system: orthorhombic
Calculated volume (Å³/atom): 25.2
Total DFT energy (no corrections) (eV per atom): -5.36
Energy of formation from the pure elements (eV per atom): -0.262

```
data_BaMnAs2
_symmetry_space_group_name_H-M 'C m m m'
_symmetry_Int_Tables_number 65
_symmetry_space_group_name_Hall '-C 2 2'
_cell_length_a 4.324
_cell_length_b 6.235
_cell_length_c 7.478
_cell_angle_alpha 90.00
_cell_angle_beta 90.00
_cell_angle_gamma 90.00
loop_
_atom_site_label
_atom_site_type_symbol
_atom_site_fract_x
_atom_site_fract_y
_atom_site_fract_z
_atom_site_occupancy
Ba1 Ba 0.000 0.000 0.000 1
Mn1 Mn 0.000 0.000 0.500 1
As1 As 0.000 0.500 0.314 1
```

***

Compound: BaMn2As
Source: Alexandria via LeMat-Bulk
Functional: PBE
Structure: optimized geometry

Properties
Crystal system: monoclinic
Calculated volume (Å³/atom): 23.7
Total DFT energy (no corrections) (eV per atom): -5.65
Energy of formation from the pure elements (eV per atom): 0.583

```
data_BaMn2As
_symmetry_space_group_name_H-M 'C 1 2/m 1'
_symmetry_Int_Tables_number 12
_symmetry_space_group_name_Hall '-C 2y'
_cell_length_a 6.355
_cell_length_b 10.601
_cell_length_c 3.262
_cell_angle_alpha 90.00
_cell_angle_beta 120.18
_cell_angle_gamma 90.00
loop_
_atom_site_label
_atom_site_type_symbol
_atom_site_fract_x
_atom_site_fract_y
_atom_site_fract_z
_atom_site_occupancy
Ba1 Ba 0.000 0.000 0.000 1
Mn1 Mn 0.250 0.250 0.500 1
As1 As 0.000 0.500 0.000 1
```

***

Compound: Ba4MnAs4
Source: Alexandria via LeMat-Bulk
Functional: PBE
Structure: optimized geometry

Properties
Crystal system: tetragonal
Calculated volume (Å³/atom): 34.3
Total DFT energy (no corrections) (eV per atom): -4.84
Energy of formation from the pure elements (eV per atom): -0.900

```
data_Ba4MnAs4
_symmetry_space_group_name_H-M 'P 42/n m c'
_symmetry_Int_Tables_number 137
_cell_length_a 9.463
_cell_length_b 9.463
_cell_length_c 6.885
_cell_angle_alpha 90.00
_cell_angle_beta 90.00
_cell_angle_gamma 90.00
loop_
_symmetry_equiv_pos_as_xyz
'x,y,z'
'-x,-y,-z'
'-y+1/2,x,z+1/2'
'y+1/2,-x,-z+1/2'
'-x+1/2,-y+1/2,z'
'x+1/2,y+1/2,-z'
'y,-x+1/2,z+1/2'
'-y,x+1/2,-z+1/2'
'x+1/2,-y,-z'
'-x+1/2,y,z'
'-y,-x,-z+1/2'
'y,x,z+1/2'
'-x,y+1/2,-z'
'x,-y+1/2,z'
'y+1/2,x+1/2,-z+1/2'
'-y+1/2,-x+1/2,z+1/2'
loop_
_atom_site_label
_atom_site_type_symbol
_atom_site_fract_x
_atom_site_fract_y
_atom_site_fract_z
_atom_site_occupancy
Ba1 Ba 0.021 0.250 0.071 1
Mn1 Mn 0.250 0.750 0.250 1
As1 As 0.033 0.750 0.439 1
```

***

Compound: BaMnAs2
Source: Alexandria via LeMat-Bulk
Functional: PBE
Structure: optimized geometry

Properties
Crystal system: trigonal
Calculated volume (Å³/atom): 24.2
Total DFT energy (no corrections) (eV per atom): -5.63
Energy of formation from the pure elements (eV per atom): -0.531

```
data_BaMnAs2
_symmetry_space_group_name_H-M 'R -3 m'
_symmetry_Int_Tables_number 166
_symmetry_space_group_name_Hall '-R 3 2"'
_cell_length_a 4.1033
_cell_length_b 4.1033
_cell_length_c 19.9221
_cell_angle_alpha 90.00
_cell_angle_beta 90.00
_cell_angle_gamma 120.00
loop_
_atom_site_label
_atom_site_type_symbol
_atom_site_fract_x
_atom_site_fract_y
_atom_site_fract_z
_atom_site_occupancy
Ba1 Ba 0.0000 0.0000 0.0000 1
Mn1 Mn 0.0000 0.0000 0.5000 1
As1 As 0.0000 0.0000 0.2212 1
```

***

Compound: Ba4MnAs
Source: Alexandria via LeMat-Bulk
Functional: PBE
Structure: optimized geometry

Properties
Crystal system: cubic
Calculated volume (Å³/atom): 42.5
Total DFT energy (no corrections) (eV per atom): -2.95
Energy of formation from the pure elements (eV per atom): 0.632

```
data_Ba4MnAs
_symmetry_space_group_name_H-M 'F -4 3 m'
_symmetry_Int_Tables_number 216
_symmetry_space_group_name_Hall 'F -4 2 3'
_cell_length_a 10.063
_cell_length_b 10.063
_cell_length_c 10.063
_cell_angle_alpha 90.00
_cell_angle_beta 90.00
_cell_angle_gamma 90.00
loop_
_atom_site_label
_atom_site_type_symbol
_atom_site_fract_x
_atom_site_fract_y
_atom_site_fract_z
_atom_site_occupancy
Ba1 Ba 0.124 0.124 0.376 1
Mn1 Mn 0.000 0.000 0.000 1
As1 As 0.250 0.250 0.750 1
```

***

Compound: BaMnAs2
Source: Alexandria via LeMat-Bulk
Functional: PBE
Structure: optimized geometry

Properties
Crystal system: monoclinic
Calculated volume (Å³/atom): 27.0
Total DFT energy (no corrections) (eV per atom): -5.54
Energy of formation from the pure elements (eV per atom): -0.444

```
data_BaMnAs2
_symmetry_space_group_name_H-M 'C 1 m 1'
_symmetry_Int_Tables_number 8
_symmetry_space_group_name_Hall 'C -2y'
_cell_length_a 8.028
_cell_length_b 4.195
_cell_length_c 6.514
_cell_angle_alpha 90.00
_cell_angle_beta 99.54
_cell_angle_gamma 90.00
loop_
_atom_site_label
_atom_site_type_symbol
_atom_site_fract_x
_atom_site_fract_y
_atom_site_fract_z
_atom_site_occupancy
Ba1 Ba 0.000 0.000 0.000 1
Mn1 Mn 0.286 0.000 0.541 1
As1 As 0.126 0.500 0.670 1
As2 As 0.224 0.500 0.320 1
```

***

Compound: BaMn2As
Source: Alexandria via LeMat-Bulk
Functional: PBE
Structure: optimized geometry

Properties
Crystal system: tetragonal
Calculated volume (Å³/atom): 24.5
Total DFT energy (no corrections) (eV per atom): -5.74
Energy of formation from the pure elements (eV per atom): 0.484

```
data_BaMn2As
_symmetry_space_group_name_H-M 'P 4/m m m'
_symmetry_Int_Tables_number 123
_symmetry_space_group_name_Hall '-P 4 2'
_cell_length_a 4.580
_cell_length_b 4.580
_cell_length_c 4.673
_cell_angle_alpha 90.00
_cell_angle_beta 90.00
_cell_angle_gamma 90.00
loop_
_atom_site_label
_atom_site_type_symbol
_atom_site_fract_x
_atom_site_fract_y
_atom_site_fract_z
_atom_site_occupancy
Ba1 Ba 0.000 0.000 0.000 1
Mn1 Mn 0.000 0.500 0.500 1
As1 As 0.500 0.500 0.000 1
```

***

Values of N(E_F), in order: 1.25, 2.45, 3.50, 3.66, 0.95, 5.76, 2.64, 4.92, all in states/eV/f.u..